Record 1
First-principles (GGA-PBE) data for an optimized crystal structure of Ba12Ag3Au5, as listed in Alexandria via LeMat-Bulk.

abc: 17.164 17.164 17.164
angles: 109.47 109.47 109.47
Fractional coordinates of all 80 atoms:
Ba  0.083  0.908  0.125
Ba  0.125  0.408  0.083
Au  0.250  0.375  0.625
Ba  0.458  0.675  0.083
Ba  0.875  0.592  0.917
Ba  0.825  0.908  0.283
Au  0.500  0.500  0.000
Ba  0.783  0.325  0.908
Ba  0.917  0.825  0.542
Ba  0.175  0.092  0.717
Ba  0.417  0.042  0.325
Ba  0.825  0.917  0.042
Ba  0.408  0.283  0.325
Au  0.375  0.125  0.750
Ag  0.875  0.750  0.125
Au  0.500  0.000  0.500
Ba  0.917  0.092  0.875
Ba  0.408  0.125  0.583
Ba  0.092  0.917  0.375
Ag  0.125  0.875  0.750
Ba  0.908  0.083  0.625
Ba  0.592  0.875  0.417
Au  0.750  0.125  0.875
Ag  0.125  0.250  0.875
Au  0.375  0.250  0.125
Ba  0.375  0.417  0.092
Au  0.125  0.750  0.375
Au  0.250  0.875  0.125
Au  0.750  0.625  0.375
Ba  0.325  0.783  0.408
Au  0.000  0.500  0.000
Ba  0.675  0.458  0.583
Au  0.500  0.000  0.000
Au  0.125  0.375  0.250
Ba  0.717  0.592  0.175
Ag  0.625  0.375  0.750
Ba  0.958  0.375  0.283
Ba  0.283  0.875  0.958
Ba  0.592  0.717  0.675
Ba  0.675  0.217  0.592
Ba  0.875  0.283  0.458
Ba  0.283  0.408  0.825
Ag  0.250  0.125  0.375
Ba  0.958  0.583  0.175
Ba  0.125  0.717  0.542
Ag  0.375  0.750  0.625
Ag  0.750  0.875  0.625
Ba  0.375  0.958  0.783
Au  0.875  0.250  0.625
Au  0.625  0.875  0.250
Ag  0.750  0.375  0.125
Ba  0.783  0.458  0.375
Ag  0.250  0.625  0.875
Ba  0.458  0.783  0.875
Ag  0.375  0.625  0.250
Ba  0.417  0.375  0.592
Ba  0.217  0.542  0.625
Au  0.000  0.000  0.000
Ba  0.625  0.583  0.908
Ba  0.583  0.958  0.675
Ag  0.625  0.250  0.375
Ba  0.542  0.217  0.125
Ba  0.042  0.625  0.717
Ba  0.717  0.125  0.042
Ba  0.217  0.675  0.092
Ba  0.542  0.325  0.917
Au  0.875  0.625  0.750
Ba  0.175  0.083  0.958
Au  0.625  0.750  0.875
Ba  0.625  0.042  0.217
Au  0.000  0.000  0.500
Ba  0.083  0.175  0.458
Ba  0.092  0.175  0.217
Ba  0.583  0.625  0.408
Ag  0.875  0.125  0.250
Ba  0.908  0.825  0.783
Ba  0.325  0.542  0.417
Au  0.000  0.500  0.500
Ba  0.042  0.417  0.825
Au  0.500  0.500  0.500

## Properties
The density of states at the Fermi level comes out at 0.70 states/eV/atom. For the energy of formation, the calculation gives -0.291 eV per atom.



Record 2
First-principles (GGA-PBE) data for an optimized crystal structure of BaAg3Au, as listed in Alexandria via LeMat-Bulk.

abc: 6.037 6.037 6.037
angles: 90.00 90.00 90.00
Fractional coordinates of all 5 atoms:
Ag  0.000  0.500  0.000
Ag  0.500  0.000  0.000
Ag  0.000  0.000  0.500
Ba  0.000  0.000  0.000
Au  0.500  0.500  0.500

## Properties
The density of states at the Fermi level comes out at 0.53 states/eV/atom. The energy above the lowest structure with this stoichiometry is 1450 meV/atom. For the energy of formation, the calculation gives 1.188 eV per atom.



Record 3
First-principles (GGA-PBE) data for an optimized crystal structure of BaAg2Au, as listed in Alexandria via LeMat-Bulk.

abc: 3.779 3.777 7.107
angles: 90.00 90.00 90.00
Fractional coordinates of all 4 atoms:
Ba  0.500  0.500  0.250
Au  0.500  0.500  0.750
Ag  0.000  0.000  0.941
Ag  0.000  0.000  0.559

## Properties
The density of states at the Fermi level comes out at 0.39 states/eV/atom. The energy above the lowest structure with this stoichiometry is 255 meV/atom. For the energy of formation, the calculation gives -0.090 eV per atom.



Record 4
First-principles (GGA-PBE) data for an optimized crystal structure of BaAg2Au, as listed in Alexandria via LeMat-Bulk.

abc: 4.948 4.383 5.468
angles: 90.17 90.00 90.00
Fractional coordinates of all 4 atoms:
Au  0.500  0.250  0.250
Ag  0.000  0.249  0.501
Ba  0.500  0.750  0.750
Ag  0.000  0.251  0.999

## Properties
The density of states at the Fermi level comes out at 0.40 states/eV/atom. The energy above the lowest structure with this stoichiometry is 69 meV/atom. For the energy of formation, the calculation gives -0.275 eV per atom.